No. 1
LiMg2Rh | meta-GGA SCAN | PBEsol geometry

Lattice parameters (Å, degrees): 4.4594 4.4594 4.4594 60.00 60.00 60.00
Fractional coordinates of all 4 atoms:
Li 0.5000 0.5000 0.5000
Mg 0.0000 0.0000 0.0000
Mg 0.7500 0.7500 0.7500
Rh 0.2500 0.2500 0.2500

Summary:
Calculated formation energy ... -0.276 eV/atom
Total magnetic moment ... 0.00 μB/f.u.
Crystal system ... cubic

No. 2
LiMg2Rh | meta-GGA SCAN | PBEsol geometry

Lattice parameters (Å, degrees): 3.1658 4.4151 5.3121 114.56 107.34 90.00
Fractional coordinates of all 4 atoms:
Mg 0.9959 0.9959 0.9917
Mg 0.7709 0.2709 0.5417
Rh 0.5052 0.5052 0.0105
Li 0.2280 0.7280 0.4561

Summary:
Calculated formation energy ... -0.342 eV/atom
Total magnetic moment ... 0.00 μB/f.u.
Crystal system ... orthorhombic